# Rb4PaO4 | Alexandria via LeMat-Bulk | GGA-PBE | relaxed
# Magnetic moment: 0.000 μB per atom
# Energy: -0.4083 Ry per atom
data_Rb4PaO4
_symmetry_space_group_name_H-M 'I -4 2 m'
_symmetry_Int_Tables_number 121
_symmetry_space_group_name_Hall 'I -4 2'
_cell_length_a 9.624
_cell_length_b 9.624
_cell_length_c 8.726
_cell_angle_alpha 90.00
_cell_angle_beta 90.00
_cell_angle_gamma 90.00
loop_
_atom_site_label
_atom_site_type_symbol
_atom_site_fract_x
_atom_site_fract_y
_atom_site_fract_z
Rb1 Rb 0.223 0.223 0.388
Pa1 Pa 0.000 0.000 0.000
O1 O 0.133 0.133 0.117

***

# Rb4Pa3O10 | Alexandria via LeMat-Bulk | GGA-PBE | relaxed
# Magnetic moment: 0.000 μB per atom
# Energy: -0.5638 Ry per atom
data_Rb4Pa3O10
_symmetry_space_group_name_H-M 'I 4/m m m'
_symmetry_Int_Tables_number 139
_symmetry_space_group_name_Hall '-I 4 2'
_cell_length_a 4.418
_cell_length_b 4.418
_cell_length_c 31.992
_cell_angle_alpha 90.00
_cell_angle_beta 90.00
_cell_angle_gamma 90.00
loop_
_atom_site_label
_atom_site_type_symbol
_atom_site_fract_x
_atom_site_fract_y
_atom_site_fract_z
Rb1 Rb 0.000 0.000 0.069
Rb2 Rb 0.000 0.000 0.208
Pa1 Pa 0.000 0.000 0.362
Pa2 Pa 0.000 0.000 0.500
O1 O 0.000 0.000 0.299
O2 O 0.000 0.000 0.432
O3 O 0.000 0.500 0.000
O4 O 0.000 0.500 0.136

***

# Rb5PaO5 | Alexandria via LeMat-Bulk | GGA-PBE | relaxed
# Magnetic moment: 0.010 μB per atom
# Energy: -0.4078 Ry per atom
data_Rb5PaO5
_symmetry_space_group_name_H-M 'C 1 2/m 1'
_symmetry_Int_Tables_number 12
_symmetry_space_group_name_Hall '-C 2y'
_cell_length_a 13.088
_cell_length_b 5.244
_cell_length_c 7.777
_cell_angle_alpha 90.00
_cell_angle_beta 109.31
_cell_angle_gamma 90.00
loop_
_atom_site_label
_atom_site_type_symbol
_atom_site_fract_x
_atom_site_fract_y
_atom_site_fract_z
Rb1 Rb 0.000 0.000 0.000
Rb2 Rb 0.174 0.500 0.342
Rb3 Rb 0.188 0.500 0.808
Pa1 Pa 0.000 0.000 0.500
O1 O 0.000 0.500 0.500
O2 O 0.122 0.000 0.372
O3 O 0.123 0.000 0.765

***

# Rb2PaRh3O12 | Alexandria via LeMat-Bulk | GGA-PBE | relaxed
# Magnetic moment: 0.096 μB per atom
# Energy: -0.4718 Ry per atom
data_Rb2PaRh3O12
_symmetry_space_group_name_H-M 'R -3 m'
_symmetry_Int_Tables_number 166
_symmetry_space_group_name_Hall '-R 3 2"'
_cell_length_a 7.2490
_cell_length_b 7.2490
_cell_length_c 19.1403
_cell_angle_alpha 90.00
_cell_angle_beta 90.00
_cell_angle_gamma 120.00
loop_
_atom_site_label
_atom_site_type_symbol
_atom_site_fract_x
_atom_site_fract_y
_atom_site_fract_z
Rb1 Rb 0.0000 0.0000 0.1131
Pa1 Pa 0.0000 0.0000 0.5000
Rh1 Rh 0.0000 0.5000 0.0000
O1 O 0.0582 0.5291 0.1012
O2 O 0.0699 0.5350 0.3486

***

# RbPaRhO4 | Alexandria via LeMat-Bulk | GGA-PBE | relaxed
# Magnetic moment: 0.041 μB per atom
# Energy: -0.5524 Ry per atom
data_RbPaRhO4
_symmetry_space_group_name_H-M 'I m m a'
_symmetry_Int_Tables_number 74
_symmetry_space_group_name_Hall '-I 2b 2'
_cell_length_a 5.651
_cell_length_b 6.903
_cell_length_c 12.533
_cell_angle_alpha 90.00
_cell_angle_beta 90.00
_cell_angle_gamma 90.00
loop_
_atom_site_label
_atom_site_type_symbol
_atom_site_fract_x
_atom_site_fract_y
_atom_site_fract_z
Rb1 Rb 0.000 0.250 0.187
Pa1 Pa 0.000 0.000 0.500
Rh1 Rh 0.250 0.250 0.750
O1 O 0.000 0.065 0.681
O2 O 0.224 0.250 0.480

***

# Rb2Pa3RuO12 | Alexandria via LeMat-Bulk | GGA-PBE | relaxed
# Magnetic moment: 0.058 μB per atom
# Energy: -0.5913 Ry per atom
data_Rb2Pa3RuO12
_symmetry_space_group_name_H-M 'R -3 m'
_symmetry_Int_Tables_number 166
_symmetry_space_group_name_Hall '-R 3 2"'
_cell_length_a 8.0054
_cell_length_b 8.0054
_cell_length_c 18.9834
_cell_angle_alpha 90.00
_cell_angle_beta 90.00
_cell_angle_gamma 120.00
loop_
_atom_site_label
_atom_site_type_symbol
_atom_site_fract_x
_atom_site_fract_y
_atom_site_fract_z
Rb1 Rb 0.0000 0.0000 0.1148
Pa1 Pa 0.0000 0.5000 0.0000
Ru1 Ru 0.0000 0.0000 0.5000
O1 O 0.0753 0.5376 0.3602
O2 O 0.1073 0.5537 0.1100

***

# RbPaRuO4 | Alexandria via LeMat-Bulk | GGA-PBE | relaxed
# Magnetic moment: 0.202 μB per atom
# Energy: -0.5677 Ry per atom
data_RbPaRuO4
_symmetry_space_group_name_H-M 'I m m a'
_symmetry_Int_Tables_number 74
_symmetry_space_group_name_Hall '-I 2b 2'
_cell_length_a 5.459
_cell_length_b 6.900
_cell_length_c 12.871
_cell_angle_alpha 90.00
_cell_angle_beta 90.00
_cell_angle_gamma 90.00
loop_
_atom_site_label
_atom_site_type_symbol
_atom_site_fract_x
_atom_site_fract_y
_atom_site_fract_z
Rb1 Rb 0.000 0.250 0.186
Pa1 Pa 0.000 0.000 0.500
Ru1 Ru 0.250 0.250 0.750
O1 O 0.000 0.062 0.677
O2 O 0.231 0.250 0.482

***

# Rb2PaRu3O12 | Alexandria via LeMat-Bulk | GGA-PBE | relaxed
# Magnetic moment: 0.000 μB per atom
# Energy: -0.5160 Ry per atom
data_Rb2PaRu3O12
_symmetry_space_group_name_H-M 'R -3 m'
_symmetry_Int_Tables_number 166
_symmetry_space_group_name_Hall '-R 3 2"'
_cell_length_a 7.2583
_cell_length_b 7.2583
_cell_length_c 18.9300
_cell_angle_alpha 90.00
_cell_angle_beta 90.00
_cell_angle_gamma 120.00
loop_
_atom_site_label
_atom_site_type_symbol
_atom_site_fract_x
_atom_site_fract_y
_atom_site_fract_z
Rb1 Rb 0.0000 0.0000 0.1220
Pa1 Pa 0.0000 0.0000 0.5000
Ru1 Ru 0.0000 0.5000 0.0000
O1 O 0.0486 0.5243 0.1025
O2 O 0.0815 0.5407 0.3436

***

# Rb2PaS2O2 | Alexandria via LeMat-Bulk | GGA-PBE | relaxed
# Magnetic moment: 0.151 μB per atom
# Energy: -0.4533 Ry per atom
data_Rb2PaS2O2
_symmetry_space_group_name_H-M 'I 4/m m m'
_symmetry_Int_Tables_number 139
_symmetry_space_group_name_Hall '-I 4 2'
_cell_length_a 4.413
_cell_length_b 4.413
_cell_length_c 18.220
_cell_angle_alpha 90.00
_cell_angle_beta 90.00
_cell_angle_gamma 90.00
loop_
_atom_site_label
_atom_site_type_symbol
_atom_site_fract_x
_atom_site_fract_y
_atom_site_fract_z
Rb1 Rb 0.000 0.000 0.154
Pa1 Pa 0.000 0.000 0.500
S1 S 0.000 0.000 0.350
O1 O 0.000 0.500 0.000

***

# Rb2PaS3O | Alexandria via LeMat-Bulk | GGA-PBE | relaxed
# Magnetic moment: 0.134 μB per atom
# Energy: -0.4241 Ry per atom
data_Rb2PaS3O
_symmetry_space_group_name_H-M 'I m m m'
_symmetry_Int_Tables_number 71
_symmetry_space_group_name_Hall '-I 2 2'
_cell_length_a 4.247
_cell_length_b 5.435
_cell_length_c 17.739
_cell_angle_alpha 90.00
_cell_angle_beta 90.00
_cell_angle_gamma 90.00
loop_
_atom_site_label
_atom_site_type_symbol
_atom_site_fract_x
_atom_site_fract_y
_atom_site_fract_z
Rb1 Rb 0.000 0.000 0.156
Pa1 Pa 0.000 0.000 0.500
S1 S 0.000 0.000 0.350
S2 S 0.000 0.500 0.500
O1 O 0.000 0.500 0.000

***

# Rb3Pa2S3O4 | Alexandria via LeMat-Bulk | GGA-PBE | relaxed
# Magnetic moment: 0.018 μB per atom
# Energy: -0.4925 Ry per atom
data_Rb3Pa2S3O4
_symmetry_space_group_name_H-M 'I m m m'
_symmetry_Int_Tables_number 71
_symmetry_space_group_name_Hall '-I 2 2'
_cell_length_a 4.317
_cell_length_b 5.484
_cell_length_c 25.336
_cell_angle_alpha 90.00
_cell_angle_beta 90.00
_cell_angle_gamma 90.00
loop_
_atom_site_label
_atom_site_type_symbol
_atom_site_fract_x
_atom_site_fract_y
_atom_site_fract_z
Rb1 Rb 0.000 0.000 0.000
Rb2 Rb 0.000 0.000 0.199
Pa1 Pa 0.000 0.000 0.388
S1 S 0.000 0.000 0.500
S2 S 0.000 0.500 0.399
O1 O 0.000 0.000 0.311
O2 O 0.000 0.500 0.111

***

# Rb2PaSO6 | Alexandria via LeMat-Bulk | GGA-PBE | relaxed
# Magnetic moment: 0.101 μB per atom
# Energy: -0.4722 Ry per atom
data_Rb2PaSO6
_symmetry_space_group_name_H-M 'I 4/m m m'
_symmetry_Int_Tables_number 139
_symmetry_space_group_name_Hall '-I 4 2'
_cell_length_a 5.644
_cell_length_b 5.644
_cell_length_c 11.152
_cell_angle_alpha 90.00
_cell_angle_beta 90.00
_cell_angle_gamma 90.00
loop_
_atom_site_label
_atom_site_type_symbol
_atom_site_fract_x
_atom_site_fract_y
_atom_site_fract_z
Rb1 Rb 0.000 0.500 0.250
Pa1 Pa 0.000 0.000 0.000
S1 S 0.000 0.000 0.500
O1 O 0.000 0.000 0.176
O2 O 0.208 0.208 0.500

***

# RbPaSbO5 | Alexandria via LeMat-Bulk | GGA-PBE | relaxed
# Magnetic moment: 0.000 μB per atom
# Energy: -0.5332 Ry per atom
data_RbPaSbO5
_symmetry_space_group_name_H-M 'C 1 2/c 1'
_symmetry_Int_Tables_number 15
_symmetry_space_group_name_Hall '-C 2yc'
_cell_length_a 7.951
_cell_length_b 10.483
_cell_length_c 8.315
_cell_angle_alpha 90.00
_cell_angle_beta 116.26
_cell_angle_gamma 90.00
loop_
_atom_site_label
_atom_site_type_symbol
_atom_site_fract_x
_atom_site_fract_y
_atom_site_fract_z
Rb1 Rb 0.000 0.174 0.250
Pa1 Pa 0.000 0.500 0.000
Sb1 Sb 0.000 0.188 0.750
O1 O 0.000 0.449 0.250
O2 O 0.086 0.303 0.603
O3 O 0.205 0.065 0.895

***

# RbPaSbO6 | Alexandria via LeMat-Bulk | GGA-PBE | relaxed
# Magnetic moment: 0.120 μB per atom
# Energy: -0.5156 Ry per atom
data_RbPaSbO6
_symmetry_space_group_name_H-M 'P -3 1 c'
_symmetry_Int_Tables_number 163
_symmetry_space_group_name_Hall '-P 3 2c'
_cell_length_a 5.6888
_cell_length_b 5.6888
_cell_length_c 12.5762
_cell_angle_alpha 90.00
_cell_angle_beta 90.00
_cell_angle_gamma 120.00
loop_
_atom_site_label
_atom_site_type_symbol
_atom_site_fract_x
_atom_site_fract_y
_atom_site_fract_z
Rb1 Rb 0.0000 0.0000 0.0000
Pa1 Pa 0.3333 0.6667 0.2500
Sb1 Sb 0.3333 0.6667 0.7500
O1 O 0.0210 0.3934 0.6602

***

# Rb2PaSbO6 | Alexandria via LeMat-Bulk | GGA-PBE | relaxed
# Magnetic moment: 0.000 μB per atom
# Energy: -0.4991 Ry per atom
data_Rb2PaSbO6
_symmetry_space_group_name_H-M 'P 4/m m m'
_symmetry_Int_Tables_number 123
_symmetry_space_group_name_Hall '-P 4 2'
_cell_length_a 4.275
_cell_length_b 4.275
_cell_length_c 8.477
_cell_angle_alpha 90.00
_cell_angle_beta 90.00
_cell_angle_gamma 90.00
loop_
_atom_site_label
_atom_site_type_symbol
_atom_site_fract_x
_atom_site_fract_y
_atom_site_fract_z
Rb1 Rb 0.000 0.000 0.232
Pa1 Pa 0.500 0.500 0.500
Sb1 Sb 0.500 0.500 0.000
O1 O 0.000 0.500 0.000
O2 O 0.000 0.500 0.500
O3 O 0.500 0.500 0.236

***

# RbPa2SbO8 | Alexandria via LeMat-Bulk | GGA-PBE | relaxed
# Magnetic moment: 0.000 μB per atom
# Energy: -0.5815 Ry per atom
data_RbPa2SbO8
_symmetry_space_group_name_H-M 'P 1 2/m 1'
_symmetry_Int_Tables_number 10
_symmetry_space_group_name_Hall '-P 2y'
_cell_length_a 5.113
_cell_length_b 7.222
_cell_length_c 5.123
_cell_angle_alpha 90.00
_cell_angle_beta 92.65
_cell_angle_gamma 90.00
loop_
_atom_site_label
_atom_site_type_symbol
_atom_site_fract_x
_atom_site_fract_y
_atom_site_fract_z
Rb1 Rb 0.000 0.000 0.000
Pa1 Pa 0.500 0.251 0.500
Sb1 Sb 0.000 0.500 0.000
O1 O 0.206 0.308 0.203
O2 O 0.288 0.500 0.709
O3 O 0.335 0.000 0.656

***

# Rb3PaSb2O8 | Alexandria via LeMat-Bulk | GGA-PBE | relaxed
# Magnetic moment: 0.000 μB per atom
# Energy: -0.4566 Ry per atom
data_Rb3PaSb2O8
_symmetry_space_group_name_H-M 'P -3 m 1'
_symmetry_Int_Tables_number 164
_symmetry_space_group_name_Hall '-P 3 2"'
_cell_length_a 6.4976
_cell_length_b 6.4976
_cell_length_c 8.3379
_cell_angle_alpha 90.00
_cell_angle_beta 90.00
_cell_angle_gamma 120.00
loop_
_atom_site_label
_atom_site_type_symbol
_atom_site_fract_x
_atom_site_fract_y
_atom_site_fract_z
Rb1 Rb 0.0000 0.0000 0.0000
Rb2 Rb 0.3333 0.6667 0.7590
Pa1 Pa 0.0000 0.0000 0.5000
Sb1 Sb 0.3333 0.6667 0.2951
O1 O 0.1542 0.3083 0.3404
O2 O 0.3333 0.6667 0.0695

***

# RbPaSb2O8 | Alexandria via LeMat-Bulk | GGA-PBE | relaxed
# Magnetic moment: 0.000 μB per atom
# Energy: -0.5002 Ry per atom
data_RbPaSb2O8
_symmetry_space_group_name_H-M 'P -3 m 1'
_symmetry_Int_Tables_number 164
_symmetry_space_group_name_Hall '-P 3 2"'
_cell_length_a 6.0215
_cell_length_b 6.0215
_cell_length_c 8.0028
_cell_angle_alpha 90.00
_cell_angle_beta 90.00
_cell_angle_gamma 120.00
loop_
_atom_site_label
_atom_site_type_symbol
_atom_site_fract_x
_atom_site_fract_y
_atom_site_fract_z
Rb1 Rb 0.0000 0.0000 0.0000
Pa1 Pa 0.0000 0.0000 0.5000
Sb1 Sb 0.3333 0.6667 0.7624
O1 O 0.1654 0.3308 0.6630
O2 O 0.3333 0.6667 0.9937

***

# Rb3PaSb2O9 | Alexandria via LeMat-Bulk | GGA-PBE | relaxed
# Magnetic moment: 0.000 μB per atom
# Energy: -0.4682 Ry per atom
data_Rb3PaSb2O9
_symmetry_space_group_name_H-M 'P -3 m 1'
_symmetry_Int_Tables_number 164
_symmetry_space_group_name_Hall '-P 3 2"'
_cell_length_a 5.9109
_cell_length_b 5.9109
_cell_length_c 7.2662
_cell_angle_alpha 90.00
_cell_angle_beta 90.00
_cell_angle_gamma 120.00
loop_
_atom_site_label
_atom_site_type_symbol
_atom_site_fract_x
_atom_site_fract_y
_atom_site_fract_z
Rb1 Rb 0.0000 0.0000 0.0000
Rb2 Rb 0.3333 0.6667 0.6704
Pa1 Pa 0.0000 0.0000 0.5000
Sb1 Sb 0.3333 0.6667 0.1583
O1 O 0.0000 0.5000 0.0000
O2 O 0.1729 0.3459 0.3234